Computed, not measured: a relaxed NaNi2RuO6 crystal at the PBE+U level of DFT.

Cell and atoms, written as CIF:
```
data_NaNi2RuO6
_chemical_formula_sum 'Na3 Ni6 Ru3 O18'
_space_group_name_H-M_alt 'R 3'
_space_group_IT_number 146
_space_group_name_Hall 'R 3'
_cell_length_a 5.2135
_cell_length_b 5.2135
_cell_length_c 14.1884
_cell_angle_alpha 90.00
_cell_angle_beta 90.00
_cell_angle_gamma 120.00
loop_
_atom_site_label
_atom_site_type_symbol
_atom_site_fract_x
_atom_site_fract_y
_atom_site_fract_z
Na1 Na 0.0000 0.0000 0.0000
Ni1 Ni 0.0000 0.0000 0.2098
Ni2 Ni 0.0000 0.0000 0.7161
Ru1 Ru 0.0000 0.0000 0.5194
O1 O 0.0153 0.3420 0.1232
O2 O 0.0820 0.7175 0.2778
```

Computed properties:
- Energy: -5.474 eV per atom
- Magnetization: 5.06 μB per formula unit